Record 1
Li4Mg5Sc PBE relaxed; space-group type = P4/mmm, No. 123; calculated formation energy = -50 meV per atom; DFT total energy = -22.463 eV per cell
1.0
3.448 0.000 0.000
0.000 3.448 0.000
0.000 0.000 17.495
Li Mg Sc
4 5 1
Direct
0.000 0.000 0.097
0.000 0.000 0.291
0.000 0.000 0.709
0.000 0.000 0.903
0.500 0.500 0.000
0.500 0.500 0.192
0.500 0.500 0.385
0.500 0.500 0.615
0.500 0.500 0.808
0.000 0.000 0.500



Record 2
Ho2TmHgN PBE relaxed; space-group type = P4/mmm, No. 123; DFT total energy = -27.006 eV per cell
1.0
4.772 0.000 0.000
0.000 4.772 0.000
0.000 0.000 4.717
Ho Tm Hg N
2 1 1 1
Direct
0.000 0.500 0.000
0.500 0.000 0.000
0.000 0.000 0.500
0.500 0.500 0.500
0.000 0.000 0.000



Record 3
Sm4CuPt3 PBE relaxed; space-group type = Pmm2, No. 25; calculated formation energy = -966 meV per atom; DFT total energy = -48.821 eV per cell
1.0
3.860 0.000 0.000
0.000 4.542 0.000
0.000 0.000 10.750
Sm Cu Pt
4 1 3
Direct
0.000 0.000 0.000
0.000 0.500 0.274
0.500 0.000 0.494
0.500 0.500 0.772
0.000 0.000 0.710
0.000 0.500 0.559
0.500 0.000 0.224
0.500 0.500 0.045



Record order is preserved below.
Density of states at the Fermi level: 0.54 0.66 0.64 states/eV per atom
Record order is preserved below.
Calculated volume: 207.9 107.4 188.4 Å³ per cell